Entry 1:
This record from the Alexandria database describes an optimized crystal structure of ThB2Rh5. The functional is GGA-PBE.

Structure (POSCAR):
```
ThB2Rh5
1.0
3.948 0.000 0.000
1.974 5.707 0.971
1.974 2.003 5.432
Th B Rh
1 2 5
Direct
0.000 0.000 0.000
0.791 0.709 0.709
0.209 0.291 0.291
0.000 0.500 0.500
0.653 0.575 0.119
0.347 0.425 0.881
0.347 0.881 0.425
0.653 0.119 0.575
```

Summary:
For the total DFT energy (no corrections), the calculation gives -61.8 eV per formula unit. As for the space group: Immm (71). The formation energy comes out at -539 meV/atom.

***

Entry 2:
This record from the Alexandria database describes an optimized crystal structure of Th3B2Rh9. The functional is GGA-PBE.

Structure (POSCAR):
```
Th3B2Rh9
1.0
-0.139 4.659 3.736
-5.009 -1.811 -2.704
-1.382 -4.523 5.589
Th B Rh
3 2 9
Direct
0.667 0.333 0.662
0.000 0.000 0.000
0.333 0.667 0.338
0.667 0.333 0.184
0.333 0.667 0.816
0.162 0.838 0.664
0.162 0.324 0.664
0.500 0.500 0.000
0.838 0.676 0.336
0.324 0.162 0.336
0.676 0.838 0.664
0.838 0.162 0.336
0.000 0.500 0.000
0.500 0.000 0.000
```

Summary:
For the total DFT energy (no corrections), the calculation gives -114.4 eV per formula unit. As for the space group: P-3m1 (164). The formation energy comes out at -900 meV/atom.

***

Entry 3:
This record from the Alexandria database describes an optimized crystal structure of ThBRh4. The functional is GGA-PBE.

Structure (POSCAR):
```
ThBRh4
1.0
-1.577 4.335 -2.115
-3.439 0.550 3.691
8.108 1.830 3.794
Th B Rh
2 2 8
Direct
0.000 0.000 0.000
0.750 0.250 0.500
0.500 0.500 0.000
0.250 0.750 0.500
0.596 0.346 0.192
0.596 0.846 0.692
0.096 0.846 0.692
0.596 0.846 0.192
0.154 0.404 0.308
0.654 0.404 0.808
0.154 0.404 0.808
0.154 0.904 0.308
```

Summary:
For the total DFT energy (no corrections), the calculation gives -43.6 eV per formula unit. As for the space group: I4_1/amd (141). The formation energy comes out at -20 meV/atom.

***

Entry 4:
This record from the Alexandria database describes an optimized crystal structure of ThBRh6. The functional is GGA-PBE.

Structure (POSCAR):
```
ThBRh6
1.0
-4.526 2.930 1.525
-4.887 -0.833 -2.611
-4.268 -2.716 2.844
Th B Rh
1 1 6
Direct
0.500 0.500 0.500
0.000 0.000 0.000
0.902 0.902 0.764
0.431 0.902 0.764
0.098 0.569 0.236
0.569 0.098 0.236
0.098 0.098 0.236
0.902 0.431 0.764
```

Summary:
For the total DFT energy (no corrections), the calculation gives -60.6 eV per formula unit. As for the space group: R-3m (166). The formation energy comes out at -303 meV/atom.

***

Entry 5:
This record from the Alexandria database describes an optimized crystal structure of ThBRh5. The functional is GGA-PBE.

Structure (POSCAR):
```
ThBRh5
1.0
-2.199 3.319 -0.048
-0.652 -0.488 -3.897
-5.547 -3.655 1.386
Th B Rh
1 1 5
Direct
0.000 0.000 0.500
0.500 0.500 0.000
0.000 0.500 0.813
0.000 0.500 0.187
0.500 0.000 0.813
0.500 0.000 0.187
0.500 0.500 0.500
```

Summary:
For the total DFT energy (no corrections), the calculation gives -53.2 eV per formula unit. As for the space group: P4/mmm (123). The formation energy comes out at -334 meV/atom.

***

Entry 6:
This record from the Alexandria database describes an optimized crystal structure of ThBRh. The functional is GGA-PBE.

Structure (POSCAR):
```
ThBRh
1.0
4.123 0.000 0.000
0.000 3.854 0.000
0.000 -1.927 3.338
B Rh Th
1 1 1
Direct
0.167 0.333 0.667
0.166 0.000 0.000
0.667 0.667 0.333
```

Summary:
For the total DFT energy (no corrections), the calculation gives -23.0 eV per formula unit. As for the space group: P-6m2 (187). The formation energy comes out at -519 meV/atom.

***

Entry 7:
This record from the Alexandria database describes an optimized crystal structure of ThB2Rh4. The functional is GGA-PBE.

Structure (POSCAR):
```
ThB2Rh4
1.0
5.654 -0.437 -0.764
1.679 3.655 -0.257
-2.321 -0.785 5.172
Th B Rh
1 2 4
Direct
0.000 0.000 0.000
0.500 0.780 0.500
0.500 0.220 0.500
0.581 0.654 0.890
0.419 0.346 0.110
0.890 0.346 0.581
0.110 0.654 0.419
```

Summary:
For the total DFT energy (no corrections), the calculation gives -52.1 eV per formula unit. As for the space group: Immm (71). The formation energy comes out at -279 meV/atom.

***

Entry 8:
This record from the Alexandria database describes an optimized crystal structure of ThB4Rh. The functional is GGA-PBE.

Structure (POSCAR):
```
ThB4Rh
1.0
3.714 0.000 0.000
0.000 6.086 0.000
0.000 0.000 11.823
Th B Rh
4 16 4
Direct
0.000 0.630 0.351
0.000 0.370 0.649
0.000 0.130 0.149
0.000 0.870 0.851
0.500 0.786 0.185
0.500 0.214 0.815
0.500 0.286 0.315
0.500 0.714 0.685
0.500 0.861 0.034
0.500 0.139 0.966
0.500 0.361 0.466
0.500 0.639 0.534
0.500 0.889 0.455
0.500 0.111 0.545
0.500 0.389 0.045
0.500 0.611 0.955
0.500 0.979 0.311
0.500 0.021 0.689
0.500 0.479 0.189
0.500 0.521 0.811
0.000 0.641 0.094
0.000 0.359 0.906
0.000 0.141 0.406
0.000 0.859 0.594
```

Summary:
For the total DFT energy (no corrections), the calculation gives -44.8 eV per formula unit. As for the space group: Pbam (55). The formation energy comes out at -561 meV/atom.

***

Entry 9:
This record from the Alexandria database describes an optimized crystal structure of ThB4Rh4. The functional is GGA-PBE.

Structure (POSCAR):
```
ThB4Rh4
1.0
-2.751 2.298 -1.783
-4.241 -0.161 6.335
3.565 6.242 2.544
Th B Rh
2 8 8
Direct
0.000 0.000 0.000
0.500 0.500 0.500
0.609 0.838 0.287
0.609 0.162 0.713
0.109 0.787 0.662
0.891 0.338 0.787
0.891 0.662 0.213
0.391 0.287 0.162
0.391 0.713 0.838
0.109 0.213 0.338
0.389 0.340 0.891
0.889 0.609 0.840
0.389 0.660 0.109
0.111 0.160 0.609
0.611 0.891 0.660
0.111 0.840 0.391
0.889 0.391 0.160
0.611 0.109 0.340
```

Summary:
For the total DFT energy (no corrections), the calculation gives -68.8 eV per formula unit. As for the space group: P4_2/n (86). The formation energy comes out at -586 meV/atom. Its energy above the most stable polymorph in this dataset is 0.003 eV per atom.

***

Entry 10:
This record from the Alexandria database describes an optimized crystal structure of Th2BRh6. The functional is GGA-PBE.

Structure (POSCAR):
```
Th2BRh6
1.0
-3.144 -0.750 1.492
-0.369 -5.881 -3.736
4.780 0.110 5.870
Th B Rh
2 1 6
Direct
0.645 0.646 0.293
0.355 0.354 0.707
0.000 0.000 0.000
0.163 0.364 0.326
0.837 0.038 0.674
0.837 0.636 0.674
0.500 0.189 0.000
0.163 0.962 0.326
0.500 0.811 0.000
```

Summary:
For the total DFT energy (no corrections), the calculation gives -69.0 eV per formula unit. As for the space group: Immm (71). The formation energy comes out at -380 meV/atom.

***

Entry 11:
This record from the Alexandria database describes an optimized crystal structure of ThB3Rh6. The functional is GGA-PBE.

Structure (POSCAR):
```
ThB3Rh6
1.0
4.748 -0.004 -2.822
-3.156 4.425 -0.158
0.136 -0.129 6.576
Th B Rh
1 3 6
Direct
0.952 0.975 0.903
0.690 0.346 0.969
0.290 0.650 0.974
0.139 0.034 0.405
0.291 0.390 0.706
0.224 0.682 0.258
0.745 0.122 0.226
0.283 0.874 0.704
0.708 0.336 0.621
0.678 0.592 0.234
```

Summary:
For the total DFT energy (no corrections), the calculation gives -77.0 eV per formula unit. As for the space group: P1 (1). The formation energy comes out at -540 meV/atom.

***

Entry 12:
This record from the Alexandria database describes an optimized crystal structure of ThB6Rh12. The functional is GGA-PBE.

Structure (POSCAR):
```
ThB6Rh12
1.0
6.502 0.000 0.000
-1.612 6.299 0.000
-1.612 -2.076 5.947
Th B Rh
1 6 12
Direct
0.000 0.000 0.000
0.667 0.233 0.233
0.233 0.233 0.667
0.233 0.667 0.233
0.767 0.767 0.333
0.333 0.767 0.767
0.767 0.333 0.767
0.866 0.134 0.500
0.815 0.553 0.553
0.553 0.553 0.815
0.447 0.185 0.447
0.447 0.447 0.185
0.185 0.447 0.447
0.134 0.500 0.866
0.500 0.866 0.134
0.134 0.866 0.500
0.866 0.500 0.134
0.500 0.134 0.866
0.553 0.815 0.553
```

Summary:
For the total DFT energy (no corrections), the calculation gives -143.4 eV per formula unit. As for the space group: R-3m (166). The formation energy comes out at -404 meV/atom.

***

Entry 13:
This record from the Alexandria database describes an optimized crystal structure of ThTiB2Rh5. The functional is GGA-PBE.

Structure (POSCAR):
```
ThTiB2Rh5
1.0
-2.854 -1.577 2.704
3.129 -1.508 2.424
0.105 6.334 3.805
Th Ti B Rh
1 1 2 5
Direct
0.000 0.000 0.500
0.000 0.000 0.000
0.500 0.500 0.190
0.500 0.500 0.810
0.000 0.500 0.210
0.500 0.000 0.210
0.000 0.500 0.790
0.500 0.000 0.790
0.500 0.500 0.500
```

Summary:
For the total DFT energy (no corrections), the calculation gives -70.7 eV per formula unit. As for the space group: P4/mmm (123). The formation energy comes out at -590 meV/atom.

***

Entry 14:
This record from the Alexandria database describes an optimized crystal structure of YTh4B3Rh12. The functional is GGA-PBE.

Structure (POSCAR):
```
YTh4B3Rh12
1.0
-3.545 0.072 6.802
5.138 -5.693 -0.145
3.574 6.698 -1.092
Y Th B Rh
1 4 3 12
Direct
0.000 0.000 0.000
0.500 0.500 0.500
0.000 0.000 0.500
0.500 0.000 0.000
0.000 0.500 0.000
0.500 0.000 0.500
0.500 0.500 0.000
0.000 0.500 0.500
0.250 0.500 0.750
0.718 0.000 0.718
0.282 0.000 0.282
0.750 0.500 0.250
0.718 0.718 0.000
0.282 0.282 0.000
0.750 0.250 0.500
0.250 0.750 0.500
0.500 0.250 0.750
0.000 0.718 0.718
0.500 0.750 0.250
0.000 0.282 0.282
```

Summary:
For the total DFT energy (no corrections), the calculation gives -157.0 eV per formula unit. As for the space group: Im-3m (229). The formation energy comes out at -632 meV/atom.

***

Entry 15:
This record from the Alexandria database describes an optimized crystal structure of YThB8Rh8. The functional is GGA-PBE.

Structure (POSCAR):
```
YThB8Rh8
1.0
-1.963 -0.774 -4.928
0.006 -5.296 0.830
-7.021 0.420 2.730
Y Th B Rh
1 1 8 8
Direct
0.000 0.000 0.500
0.500 0.500 0.000
0.333 0.000 0.151
0.667 0.000 0.151
0.500 0.832 0.649
0.500 0.168 0.649
0.168 0.500 0.351
0.832 0.500 0.351
0.000 0.667 0.849
0.000 0.333 0.849
0.750 0.000 0.853
0.250 0.000 0.853
0.500 0.250 0.357
0.500 0.750 0.357
0.750 0.500 0.643
0.250 0.500 0.643
0.000 0.250 0.147
0.000 0.750 0.147
```

Summary:
For the total DFT energy (no corrections), the calculation gives -136.6 eV per formula unit. As for the space group: P-4m2 (115). The formation energy comes out at -584 meV/atom.

***

Entry 16:
This record from the Alexandria database describes an optimized crystal structure of ThZnB2Rh5. The functional is GGA-PBE.

Structure (POSCAR):
```
ThZnB2Rh5
1.0
-4.019 0.450 -0.638
-0.743 -3.229 2.404
-0.471 4.873 6.399
Th Zn B Rh
1 1 2 5
Direct
0.000 0.000 0.000
0.000 0.000 0.500
0.500 0.500 0.212
0.500 0.500 0.788
0.000 0.500 0.270
0.500 0.000 0.270
0.000 0.500 0.730
0.500 0.000 0.730
0.500 0.500 0.500
```

Summary:
For the total DFT energy (no corrections), the calculation gives -63.2 eV per formula unit. As for the space group: P4/mmm (123). The formation energy comes out at -483 meV/atom.

***

Entry 17:
This record from the Alexandria database describes an optimized crystal structure of Th3ZnB2Rh9. The functional is GGA-PBE.

Structure (POSCAR):
```
Th3ZnB2Rh9
1.0
6.138 0.000 0.000
-3.069 5.316 0.000
0.000 0.000 7.673
Th Zn B Rh
3 1 2 9
Direct
0.333 0.667 0.659
0.000 0.000 0.000
0.667 0.333 0.341
0.000 0.000 0.500
0.333 0.667 0.149
0.667 0.333 0.851
0.823 0.177 0.690
0.823 0.645 0.690
0.355 0.177 0.690
0.645 0.823 0.310
0.177 0.355 0.310
0.177 0.823 0.310
0.500 0.000 0.000
0.000 0.500 0.000
0.500 0.500 0.000
```

Summary:
For the total DFT energy (no corrections), the calculation gives -114.4 eV per formula unit. As for the space group: P-3m1 (164). The formation energy comes out at -757 meV/atom.

***

Entry 18:
This record from the Alexandria database describes an optimized crystal structure of TiB3Rh. The functional is GGA-PBE.

Structure (POSCAR):
```
TiB3Rh
1.0
3.959 0.000 0.000
0.000 3.959 0.000
0.000 0.000 3.959
B Rh Ti
3 1 1
Direct
0.000 0.500 0.000
0.000 0.000 0.500
0.500 0.000 0.000
0.500 0.500 0.500
0.000 0.000 0.000
```

Summary:
For the total DFT energy (no corrections), the calculation gives -27.3 eV per formula unit. As for the space group: Pm-3m (221). The formation energy comes out at 1588 meV/atom. Its energy above the most stable polymorph in this dataset is 0.702 eV per atom.

***

Entry 19:
This record from the Alexandria database describes an optimized crystal structure of TiB3Rh. The functional is GGA-PBE.

Structure (POSCAR):
```
TiB3Rh
1.0
-0.003 -3.045 -2.544
3.778 -0.778 0.928
-1.211 -2.422 2.900
B Rh Ti
3 1 1
Direct
0.000 0.500 0.000
0.000 0.000 0.500
0.500 0.000 0.000
0.000 0.000 0.000
0.500 0.500 0.500
```

Summary:
For the total DFT energy (no corrections), the calculation gives -30.9 eV per formula unit. As for the space group: Pm-3m (221). The formation energy comes out at 886 meV/atom. Its energy above the most stable polymorph in this dataset is 0.000 eV per atom.

***

Entry 20:
This record from the Alexandria database describes an optimized crystal structure of Ti2BRh8. The functional is GGA-PBE.

Structure (POSCAR):
```
Ti2BRh8
1.0
-2.874 0.857 -3.204
-3.225 -4.050 1.809
0.031 5.699 4.503
Ti B Rh
2 1 8
Direct
0.806 0.306 0.611
0.194 0.694 0.389
0.500 0.000 0.000
0.374 0.618 0.748
0.626 0.871 0.252
0.819 0.819 0.637
0.000 0.253 0.000
0.181 0.181 0.363
0.374 0.129 0.748
0.626 0.382 0.252
0.000 0.747 0.000
```

Summary:
For the total DFT energy (no corrections), the calculation gives -85.7 eV per formula unit. As for the space group: Immm (71). The formation energy comes out at -398 meV/atom.